Record 1
VASP calculation (PBE-GGA) on a geometry-optimized RbTl4Rh structure.

a b c (Å): 5.306 5.306 8.465
angles (deg): 90.00 90.00 90.00
Fractional coordinates of all 6 atoms:
Rb  0.000  0.000  0.000
Tl  0.500  0.500  0.819
Tl  0.500  0.500  0.181
Tl  0.500  0.000  0.500
Tl  0.000  0.500  0.500
Rh  0.500  0.500  0.500

**Formation energy from the elements**: 0.0323 eV/atom
**Calculated volume**: 39.7 Å³ per atom
**Total magnetization**: 0.0 μB/cell
**Space group**: P4/mmm

***

Record 2
VASP calculation (PBE-GGA) on a geometry-optimized RbTlRh3 structure.

a b c (Å): 5.148 5.148 5.148
angles (deg): 90.00 90.00 90.00
Each line ends with the local moment (μB).
Fractional coordinates of all 5 atoms:
Tl  0.000  0.000  0.000  -0.03
Rh  0.000  0.500  0.000  0.57
Rh  0.000  0.000  0.500  0.71
Rh  0.500  0.000  0.000  0.36
Rb  0.500  0.500  0.500  -0.01

**Formation energy from the elements**: 1.2099 eV/atom
**Calculated volume**: 27.3 Å³ per atom
**Total magnetization**: 1.6 μB/cell
**Space group**: Pm-3m

***

Record 3
VASP calculation (PBE-GGA) on a geometry-optimized Rb2TlRh structure.

a b c (Å): 5.823 5.823 5.823
angles (deg): 60.00 60.00 60.00
Fractional coordinates of all 4 atoms:
Tl  0.500  0.500  0.500
Rh  0.000  0.000  0.000
Rb  0.250  0.250  0.250
Rb  0.750  0.750  0.750

**Formation energy from the elements**: 0.6434 eV/atom
**Calculated volume**: 34.9 Å³ per atom
**Total magnetization**: 0.0 μB/cell
**Space group**: Fm-3m

***

Record 4
VASP calculation (PBE-GGA) on a geometry-optimized RbTl2Rh2 structure.

a b c (Å): 8.301 8.301 3.179
angles (deg): 90.00 90.00 90.00
Fractional coordinates of all 10 atoms:
Tl  0.154  0.654  0.500
Tl  0.654  0.846  0.500
Tl  0.846  0.346  0.500
Tl  0.346  0.154  0.500
Rh  0.364  0.864  0.000
Rh  0.864  0.636  0.000
Rh  0.636  0.136  0.000
Rh  0.136  0.364  0.000
Rb  0.000  0.000  0.000
Rb  0.500  0.500  0.000

**Formation energy from the elements**: 0.1591 eV/atom
**Calculated volume**: 21.9 Å³ per atom
**Total magnetization**: 0.0 μB/cell
**Space group**: P4/mbm

***

Record 5
VASP calculation (PBE-GGA) on a geometry-optimized Rb2Tl6Rh structure.

a b c (Å): 6.029 7.394 7.394
angles (deg): 63.79 85.98 85.98
Fractional coordinates of all 9 atoms:
Rb  0.788  0.633  0.633
Rb  0.212  0.367  0.367
Tl  0.303  0.306  0.885
Tl  0.265  0.811  0.811
Tl  0.303  0.885  0.306
Tl  0.697  0.694  0.115
Tl  0.735  0.189  0.189
Tl  0.697  0.115  0.694
Rh  0.000  0.000  0.000

**Formation energy from the elements**: -0.0215 eV/atom
**Calculated volume**: 32.8 Å³ per atom
**Total magnetization**: 0.0 μB/cell
**Space group**: C2/m

***

Record 6
VASP calculation (PBE-GGA) on a geometry-optimized RbTl2Rh2 structure.

a b c (Å): 4.602 4.602 6.921
angles (deg): 70.58 70.58 90.00
Fractional coordinates of all 5 atoms:
Tl  0.368  0.368  0.264
Tl  0.632  0.632  0.736
Rh  0.750  0.250  0.500
Rh  0.250  0.750  0.500
Rb  0.000  0.000  0.000

**Formation energy from the elements**: 0.1904 eV/atom
**Calculated volume**: 25.9 Å³ per atom
**Total magnetization**: 0.0 μB/cell
**Space group**: I4/mmm

***

Record 7
VASP calculation (PBE-GGA) on a geometry-optimized Rb2TlRh structure.

a b c (Å): 12.281 12.281 9.071
angles (deg): 47.40 47.40 90.00
Fractional coordinates of all 8 atoms:
Tl  0.000  0.000  0.000
Tl  0.750  0.250  0.500
Rh  0.500  0.500  0.000
Rh  0.250  0.750  0.500
Rb  0.458  0.125  0.250
Rb  0.292  0.625  0.250
Rb  0.375  0.542  0.750
Rb  0.875  0.708  0.750

**Formation energy from the elements**: 0.2739 eV/atom
**Calculated volume**: 49.4 Å³ per atom
**Total magnetization**: 0.0 μB/cell
**Space group**: I-42d

***

Record 8
VASP calculation (PBE-GGA) on a geometry-optimized Rb2Tl5Rh structure.

a b c (Å): 6.838 6.838 7.923
angles (deg): 115.57 115.57 90.00
Fractional coordinates of all 8 atoms:
Rb  0.283  0.783  0.566
Rb  0.783  0.283  0.566
Tl  0.764  0.276  0.040
Tl  0.276  0.276  0.040
Tl  0.764  0.764  0.040
Tl  0.276  0.764  0.040
Tl  0.706  0.706  0.412
Rh  0.924  0.924  0.849

**Formation energy from the elements**: 0.0237 eV/atom
**Calculated volume**: 36.7 Å³ per atom
**Total magnetization**: 0.0 μB/cell
**Space group**: I4mm

***

Record 9
VASP calculation (PBE-GGA) on a geometry-optimized Rb2Tl9Rh3 structure.

a b c (Å): 8.811 8.811 12.106
angles (deg): 90.31 110.08 121.39
Fractional coordinates of all 28 atoms:
Rb  0.343  0.243  0.753
Rb  0.657  0.757  0.247
Rb  0.990  0.591  0.747
Rb  0.010  0.409  0.253
Tl  0.435  0.915  0.747
Tl  0.565  0.085  0.253
Tl  0.668  0.689  0.753
Tl  0.332  0.311  0.247
Tl  0.425  0.621  0.922
Tl  0.575  0.379  0.078
Tl  0.199  0.502  0.578
Tl  0.801  0.498  0.422
Tl  0.912  0.162  0.750
Tl  0.088  0.838  0.250
Tl  0.153  0.995  0.959
Tl  0.847  0.005  0.041
Tl  0.536  0.193  0.541
Tl  0.464  0.807  0.459
Tl  0.883  0.859  0.569
Tl  0.117  0.141  0.431
Tl  0.790  0.314  0.931
Tl  0.210  0.686  0.069
Rh  0.500  0.000  0.000
Rh  0.500  0.500  0.500
Rh  0.825  0.160  0.500
Rh  0.175  0.840  0.500
Rh  0.160  0.326  0.000
Rh  0.840  0.674  0.000

**Formation energy from the elements**: 0.0538 eV/atom
**Calculated volume**: 26.2 Å³ per atom
**Total magnetization**: 0.0 μB/cell
**Space group**: C2/c

***

Record 10
VASP calculation (PBE-GGA) on a geometry-optimized RbTl2Rh structure.

a b c (Å): 8.343 8.343 8.343
angles (deg): 60.00 60.00 60.00
Fractional coordinates of all 8 atoms:
Rb  0.500  0.500  0.500
Rb  0.750  0.750  0.750
Tl  0.125  0.125  0.625
Tl  0.125  0.125  0.125
Tl  0.625  0.125  0.125
Tl  0.125  0.625  0.125
Rh  0.250  0.250  0.250
Rh  0.000  0.000  0.000

**Formation energy from the elements**: 0.1805 eV/atom
**Calculated volume**: 51.3 Å³ per atom
**Total magnetization**: 0.0 μB/cell
**Space group**: Fd-3m

***

Record 11
VASP calculation (PBE-GGA) on a geometry-optimized Rb3Tl4Rh structure.

a b c (Å): 7.636 7.636 7.636
angles (deg): 116.66 88.91 124.77
Fractional coordinates of all 8 atoms:
Rb  0.565  0.241  0.806
Rb  0.920  0.000  0.920
Rb  0.565  0.759  0.324
Tl  0.215  0.709  0.924
Tl  0.215  0.291  0.507
Tl  0.593  0.269  0.324
Tl  0.055  0.731  0.324
Rh  0.022  0.500  0.522

**Formation energy from the elements**: 0.0043 eV/atom
**Calculated volume**: 38.7 Å³ per atom
**Total magnetization**: 0.0 μB/cell
**Space group**: Imm2

***

Record 12
VASP calculation (PBE-GGA) on a geometry-optimized RbTl2Rh structure.

a b c (Å): 4.583 4.583 7.480
angles (deg): 72.16 72.16 60.00
Fractional coordinates of all 4 atoms:
Tl  0.288  0.288  0.135
Tl  0.712  0.712  0.865
Rh  0.000  0.000  0.000
Rb  0.500  0.500  0.500

**Formation energy from the elements**: 0.0410 eV/atom
**Calculated volume**: 31.8 Å³ per atom
**Total magnetization**: 0.0 μB/cell
**Space group**: R-3m

***

Record 13
VASP calculation (PBE-GGA) on a geometry-optimized RbTlRh3 structure.

a b c (Å): 4.947 4.947 4.947
angles (deg): 90.00 90.00 90.00
Each line ends with the local moment (μB).
Fractional coordinates of all 5 atoms:
Tl  0.500  0.500  0.500  0.04
Rh  0.000  0.500  0.000  0.73
Rh  0.000  0.000  0.500  0.52
Rh  0.500  0.000  0.000  0.84
Rb  0.000  0.000  0.000  0.03

**Formation energy from the elements**: 2.0303 eV/atom
**Calculated volume**: 24.2 Å³ per atom
**Total magnetization**: 2.2 μB/cell
**Space group**: Pm-3m

***

Record 14
VASP calculation (PBE-GGA) on a geometry-optimized RbTl2Rh structure.

a b c (Å): 5.317 5.317 5.317
angles (deg): 60.00 60.00 60.00
Fractional coordinates of all 4 atoms:
Tl  0.250  0.250  0.250
Tl  0.750  0.750  0.750
Rh  0.500  0.500  0.500
Rb  0.000  0.000  0.000

**Formation energy from the elements**: 0.3742 eV/atom
**Calculated volume**: 26.6 Å³ per atom
**Total magnetization**: 0.0 μB/cell
**Space group**: Fm-3m

***

Record 15
VASP calculation (PBE-GGA) on a geometry-optimized RbTl2Rh structure.

a b c (Å): 3.434 3.434 9.008
angles (deg): 90.00 90.00 90.00
Each line ends with the local moment (μB).
Fractional coordinates of all 4 atoms:
Tl  0.000  0.000  0.815  0.00
Tl  0.000  0.000  0.185  0.00
Rh  0.500  0.500  0.000  0.07
Rb  0.500  0.500  0.500  0.00

**Formation energy from the elements**: 0.0708 eV/atom
**Calculated volume**: 26.6 Å³ per atom
**Total magnetization**: 0.1 μB/cell
**Space group**: P4/mmm

***

Record 16
VASP calculation (PBE-GGA) on a geometry-optimized RbTl2Rh structure.

a b c (Å): 6.542 6.542 9.333
angles (deg): 69.48 69.48 90.00
Fractional coordinates of all 8 atoms:
Tl  0.875  0.125  0.250
Tl  0.875  0.625  0.250
Tl  0.375  0.125  0.750
Tl  0.875  0.125  0.750
Rh  0.000  0.000  0.000
Rh  0.750  0.250  0.500
Rb  0.500  0.500  0.000
Rb  0.250  0.750  0.500

**Formation energy from the elements**: 0.1207 eV/atom
**Calculated volume**: 43.4 Å³ per atom
**Total magnetization**: 0.0 μB/cell
**Space group**: I4_1/amd

***

Record 17
VASP calculation (PBE-GGA) on a geometry-optimized Rb2YTlRh structure.

a b c (Å): 6.563 5.137 6.563
angles (deg): 90.00 90.00 90.00
Fractional coordinates of all 5 atoms:
Y  0.000  0.500  0.000
Tl  0.500  0.500  0.500
Rh  0.000  0.000  0.000
Rb  0.000  0.000  0.500
Rb  0.500  0.000  0.000

**Formation energy from the elements**: 0.3659 eV/atom
**Calculated volume**: 44.2 Å³ per atom
**Total magnetization**: 0.0 μB/cell
**Space group**: P4/mmm

***

Record 18
VASP calculation (PBE-GGA) on a geometry-optimized RbTl2ZnRh structure.

a b c (Å): 5.329 5.329 5.083
angles (deg): 90.00 90.00 90.00
Fractional coordinates of all 5 atoms:
Tl  0.000  0.500  0.000
Tl  0.500  0.000  0.000
Rh  0.000  0.000  0.000
Zn  0.000  0.000  0.500
Rb  0.500  0.500  0.500

**Formation energy from the elements**: -0.0898 eV/atom
**Calculated volume**: 28.9 Å³ per atom
**Total magnetization**: 0.0 μB/cell
**Space group**: P4/mmm

***

Record 19
VASP calculation (PBE-GGA) on a geometry-optimized Rb2VRh2 structure.

a b c (Å): 4.125 4.125 7.923
angles (deg): 74.91 74.91 90.00
Each line ends with the local moment (μB).
Fractional coordinates of all 5 atoms:
Rh  0.418  0.418  0.164  -0.49
Rh  0.582  0.582  0.836  -0.49
Rb  0.750  0.250  0.500  -0.01
Rb  0.250  0.750  0.500  -0.01
V  0.000  0.000  0.000  2.52

**Formation energy from the elements**: 1.4513 eV/atom
**Calculated volume**: 25.1 Å³ per atom
**Total magnetization**: 2.0 μB/cell
**Space group**: I4/mmm

***

Record 20
VASP calculation (PBE-GGA) on a geometry-optimized RbVRh2 structure.

a b c (Å): 7.312 7.312 6.189
angles (deg): 53.79 53.79 90.00
Fractional coordinates of all 8 atoms:
Rh  0.534  0.125  0.250
Rh  0.216  0.625  0.250
Rh  0.375  0.466  0.750
Rh  0.875  0.784  0.750
Rb  0.000  0.000  0.000
Rb  0.750  0.250  0.500
V  0.500  0.500  0.000
V  0.250  0.750  0.500

**Formation energy from the elements**: 0.7120 eV/atom
**Calculated volume**: 22.7 Å³ per atom
**Total magnetization**: 0.0 μB/cell
**Space group**: I-42d

***

Record 21
VASP calculation (PBE-GGA) on a geometry-optimized Rb2VRh structure.

a b c (Å): 5.646 5.646 5.646
angles (deg): 60.00 60.00 60.00
Each line ends with the local moment (μB).
Fractional coordinates of all 4 atoms:
Rh  0.500  0.500  0.500  -0.62
Rb  0.250  0.250  0.250  0.05
Rb  0.750  0.750  0.750  0.05
V  0.000  0.000  0.000  3.29

**Formation energy from the elements**: 1.4818 eV/atom
**Calculated volume**: 31.8 Å³ per atom
**Total magnetization**: 4.0 μB/cell
**Space group**: Fm-3m

***

Record 22
VASP calculation (PBE-GGA) on a geometry-optimized RbVRh2 structure.

a b c (Å): 4.679 4.679 4.679
angles (deg): 60.00 60.00 60.00
Each line ends with the local moment (μB).
Fractional coordinates of all 4 atoms:
Rh  0.250  0.250  0.250  -0.22
Rh  0.750  0.750  0.750  -0.22
Rb  0.500  0.500  0.500  0.01
V  0.000  0.000  0.000  1.71

**Formation energy from the elements**: 1.0006 eV/atom
**Calculated volume**: 18.1 Å³ per atom
**Total magnetization**: 1.5 μB/cell
**Space group**: Fm-3m

***

Record 23
VASP calculation (PBE-GGA) on a geometry-optimized RbV2Rh structure.

a b c (Å): 4.634 4.634 4.634
angles (deg): 60.00 60.00 60.00
Each line ends with the local moment (μB).
Fractional coordinates of all 4 atoms:
Rh  0.500  0.500  0.500  -0.30
Rb  0.000  0.000  0.000  0.04
V  0.250  0.250  0.250  1.35
V  0.750  0.750  0.750  1.35

**Formation energy from the elements**: 1.3415 eV/atom
**Calculated volume**: 17.6 Å³ per atom
**Total magnetization**: 2.8 μB/cell
**Space group**: Fm-3m

***

Record 24
VASP calculation (PBE-GGA) on a geometry-optimized Rb2VRh2 structure.

a b c (Å): 6.399 6.399 5.996
angles (deg): 90.00 90.00 90.00
Each line ends with the local moment (μB).
Fractional coordinates of all 10 atoms:
Rh  0.357  0.857  0.000  -0.20
Rh  0.857  0.643  0.000  -0.20
Rh  0.643  0.143  0.000  -0.20
Rh  0.143  0.357  0.000  -0.20
Rb  0.180  0.680  0.500  0.02
Rb  0.680  0.820  0.500  0.02
Rb  0.820  0.320  0.500  0.02
Rb  0.320  0.180  0.500  0.02
V  0.000  0.000  0.000  1.54
V  0.500  0.500  0.000  1.54

**Formation energy from the elements**: 0.5682 eV/atom
**Calculated volume**: 24.6 Å³ per atom
**Total magnetization**: 3.5 μB/cell
**Space group**: P4/mbm

***

Record 25
VASP calculation (PBE-GGA) on a geometry-optimized Rb2VRh structure.

a b c (Å): 13.033 13.033 9.501
angles (deg): 46.70 46.70 90.00
Each line ends with the local moment (μB).
Fractional coordinates of all 8 atoms:
Rh  0.000  0.000  0.000  -0.34
Rh  0.750  0.250  0.500  -0.34
Rb  0.807  0.125  0.250  0.02
Rb  0.943  0.625  0.250  0.02
Rb  0.375  0.193  0.750  0.02
Rb  0.875  0.057  0.750  0.02
V  0.500  0.500  0.000  2.46
V  0.250  0.750  0.500  2.46

**Formation energy from the elements**: 0.8062 eV/atom
**Calculated volume**: 49.1 Å³ per atom
**Total magnetization**: 6.2 μB/cell
**Space group**: I-42d

***

Record 26
VASP calculation (PBE-GGA) on a geometry-optimized RbV2Rh structure.

a b c (Å): 5.748 5.748 8.827
angles (deg): 71.00 71.00 90.00
Each line ends with the local moment (μB).
Fractional coordinates of all 8 atoms:
Rh  0.000  0.000  0.000  -0.27
Rh  0.750  0.250  0.500  -0.27
Rb  0.500  0.500  0.000  0.04
Rb  0.250  0.750  0.500  0.04
V  0.875  0.125  0.250  2.57
V  0.875  0.625  0.250  2.57
V  0.375  0.125  0.750  2.57
V  0.875  0.125  0.750  2.57

**Formation energy from the elements**: 1.1599 eV/atom
**Calculated volume**: 32.4 Å³ per atom
**Total magnetization**: 13.1 μB/cell
**Space group**: I4_1/amd